DFT (GGA-PBEsol) results for a relaxed structure of Sr3LiSc.

Values from the calculation:
DOS at the Fermi energy   3.03 states/eV/cell
Energy relative to the elements   649 meV per atom
SG   No. 221
Total magnetic moment   3.678 μB per formula unit

Cell lengths 6.3703, 6.3703, 6.3703 Å; angles 90.00, 90.00, 90.00 degrees
Closest atoms and distances in Å follow each position.
Sites, in units of the cell vectors:
Sc1 0.0000 0.0000 0.0000  6 Sr 3.19
Sr1 0.0000 0.5000 0.0000  2 Sc 3.19
Sr2 0.0000 0.0000 0.5000  2 Sc 3.19
Sr3 0.5000 0.0000 0.0000  2 Sc 3.19
Li1 0.5000 0.5000 0.5000  12 Sr 4.50